No. 1
4
Lattice="4.858 -0.004 0.000 2.289 4.286 0.000 -3.574 -2.141 2.500" Properties=species:S:1:pos:R:3 comment="MnBe2Br, optimized geometry, DFT GGA-PBE" e_above_lowest_polymorph_mev_per_atom=608 e_form_raw_ev_per_atom=0.7952 dft_energy_ev_per_atom=-3.778 pbc="T T T"
Be 0.000 0.000 0.000
Be 3.574 2.141 0.000
Mn 2.429 -0.002 1.250
Br 1.144 2.143 1.250

No. 2
6
Lattice="0.000 4.002 4.002 4.002 0.000 4.002 4.002 4.002 0.000" Properties=species:S:1:pos:R:3 comment="KZn4Sb, optimized geometry, DFT GGA-PBE" e_form_raw_ev_per_atom=0.1132 dft_energy_ev_per_atom=-1.606 pbc="T T T"
K 6.002 6.002 6.002
Zn 2.996 5.007 5.007
Zn 5.007 5.007 2.996
Zn 5.007 2.996 5.007
Zn 2.996 2.996 2.996
Sb 0.000 0.000 0.000